Entry 1:
First-principles (GGA-PBE) data for a relaxed K5Np2Cl12 crystal, as listed in Alexandria.

Output
As for the symmetry: C2/m, No. 12. Its total energy is -87.47 eV for the cell shown. As for the energy relative to the elements, uncorrected: -1.787 eV/atom.

Unit cell a=9.6850 b=9.6850 c=10.0634 alpha=109.63 beta=109.63 gamma=51.06
With the nearest neighbours (Å) after each atom.
Element x y z (fractional)
K 0.0000 0.0000 0.0000  6 Cl 3.14-3.33
K 0.2768 0.2768 0.0910  4 Cl 3.07-3.16
K 0.3242 0.3242 0.7157  2 Cl 3.01
K 0.6758 0.6758 0.2843  2 Cl 3.01
K 0.7232 0.7232 0.9090  4 Cl 3.07-3.16
Np 0.2503 0.7497 0.5000  6 Cl 2.58-2.74
Np 0.7497 0.2503 0.5000  6 Cl 2.58-2.74
Cl 0.0203 0.0203 0.6839  2 Np 2.73
Cl 0.1027 0.5840 0.4433  1 Np 2.58
Cl 0.1086 0.6068 0.9464  4 K 3.01-3.16
Cl 0.3932 0.8914 0.0536  4 K 3.01-3.16
Cl 0.4160 0.8973 0.5567  1 Np 2.58
Cl 0.4838 0.4838 0.3140  2 Np 2.74
Cl 0.5162 0.5162 0.6860  2 Np 2.74
Cl 0.5840 0.1027 0.4433  1 Np 2.58
Cl 0.6068 0.1086 0.9464  4 K 3.01-3.16
Cl 0.8914 0.3932 0.0536  4 K 3.01-3.16
Cl 0.8973 0.4160 0.5567  1 Np 2.58
Cl 0.9797 0.9797 0.3161  2 Np 2.73

---

Entry 2:
First-principles (GGA-PBE) data for a relaxed K2NpCl5 crystal, as listed in Alexandria.

Output
For the energy above the lowest structure with this stoichiometry, the calculation gives 0 meV/atom. As for the symmetry: Pnma, No. 62. Its total energy is -157.71 eV for the cell shown. As for the energy relative to the elements, uncorrected: -1.882 eV/atom.

Unit cell a=13.0562 b=8.7619 c=8.1343 alpha=90.00 beta=90.00 gamma=90.00
With the nearest neighbours (Å) after each atom.
Element x y z (fractional)
K 0.1710 0.0031 0.0453  8 Cl 3.21-3.41
K 0.1710 0.4969 0.0453  8 Cl 3.21-3.41
K 0.3290 0.5031 0.5453  8 Cl 3.21-3.41
K 0.3290 0.9969 0.5453  8 Cl 3.21-3.41
K 0.6710 0.0031 0.4547  8 Cl 3.21-3.41
K 0.6710 0.4969 0.4547  8 Cl 3.21-3.41
K 0.8290 0.5031 0.9547  8 Cl 3.21-3.41
K 0.8290 0.9969 0.9547  8 Cl 3.21-3.41
Np 0.0026 0.2500 0.5667  7 Cl 2.77-2.84
Np 0.4974 0.7500 0.0667  7 Cl 2.77-2.84
Np 0.5026 0.2500 0.9333  7 Cl 2.77-2.84
Np 0.9974 0.7500 0.4333  7 Cl 2.77-2.84
Cl 0.0084 0.2500 0.9154  1 Np 2.84
Cl 0.0802 0.5396 0.6603  2 Np 2.82-2.84
Cl 0.0802 0.9604 0.6603  2 Np 2.82-2.84
Cl 0.1759 0.2500 0.3699  1 Np 2.77
Cl 0.2012 0.7500 0.3353  1 Np 2.78
Cl 0.2988 0.2500 0.8353  1 Np 2.78
Cl 0.3241 0.7500 0.8699  1 Np 2.77
Cl 0.4198 0.0396 0.1603  2 Np 2.82-2.84
Cl 0.4198 0.4604 0.1603  2 Np 2.82-2.84
Cl 0.4916 0.7500 0.4154  1 Np 2.84
Cl 0.5084 0.2500 0.5846  1 Np 2.84
Cl 0.5802 0.5396 0.8397  2 Np 2.82-2.84
Cl 0.5802 0.9604 0.8397  2 Np 2.82-2.84
Cl 0.6759 0.2500 0.1301  1 Np 2.77
Cl 0.7012 0.7500 0.1647  1 Np 2.78
Cl 0.7988 0.2500 0.6647  1 Np 2.78
Cl 0.8241 0.7500 0.6301  1 Np 2.77
Cl 0.9198 0.0396 0.3397  2 Np 2.82-2.84
Cl 0.9198 0.4604 0.3397  2 Np 2.82-2.84
Cl 0.9916 0.7500 0.0846  1 Np 2.84

---

Entry 3:
First-principles (GGA-PBE) data for a relaxed K2NpCl7 crystal, as listed in Alexandria.

Output
As for the symmetry: C2/c, No. 15. Its total energy is -88.62 eV for the cell shown. As for the energy relative to the elements, uncorrected: -1.625 eV/atom.

Unit cell a=9.1681 b=9.1681 c=12.2535 alpha=120.69 beta=120.69 gamma=56.72
With the nearest neighbours (Å) after each atom.
Element x y z (fractional)
K 0.1597 0.2736 0.3434  6 Cl 3.16-3.31
K 0.2736 0.1597 0.8434  6 Cl 3.16-3.31
K 0.7264 0.8403 0.1566  6 Cl 3.16-3.31
K 0.8403 0.7264 0.6566  6 Cl 3.16-3.31
Np 0.3718 0.6282 0.2500  7 Cl 2.52-2.72
Np 0.6282 0.3718 0.7500  7 Cl 2.52-2.72
Cl 0.0691 0.9309 0.2500  1 Np 2.64
Cl 0.1289 0.5299 0.2213  1 Np 2.64
Cl 0.2540 0.5056 0.6512  1 Np 2.72
Cl 0.2707 0.5811 0.0051  1 Np 2.52
Cl 0.4189 0.7293 0.4949  1 Np 2.52
Cl 0.4701 0.8711 0.2787  1 Np 2.64
Cl 0.4944 0.7460 0.8488  1 Np 2.72
Cl 0.5056 0.2540 0.1512  1 Np 2.72
Cl 0.5299 0.1289 0.7213  1 Np 2.64
Cl 0.5811 0.2707 0.5051  1 Np 2.52
Cl 0.7293 0.4189 0.9949  1 Np 2.52
Cl 0.7460 0.4944 0.3488  1 Np 2.72
Cl 0.8711 0.4701 0.7787  1 Np 2.64
Cl 0.9309 0.0691 0.7500  1 Np 2.64

---

Entry 4:
First-principles (GGA-PBE) data for a relaxed K3Np2Cl9 crystal, as listed in Alexandria.

Output
As for the symmetry: R-3c, No. 167. Its total energy is -141.93 eV for the cell shown. As for the energy relative to the elements, uncorrected: -1.798 eV/atom.

Unit cell a=9.7263 b=9.7263 c=9.7263 alpha=85.96 beta=85.96 gamma=85.96
With the nearest neighbours (Å) after each atom.
Element x y z (fractional)
K 0.0555 0.7500 0.4445  8 Cl 3.44-3.78
K 0.2500 0.5555 0.9445  8 Cl 3.44-3.78
K 0.4445 0.0555 0.7500  8 Cl 3.44-3.78
K 0.5555 0.9445 0.2500  8 Cl 3.44-3.78
K 0.7500 0.4445 0.0555  8 Cl 3.44-3.78
K 0.9445 0.2500 0.5555  8 Cl 3.44-3.78
Np 0.1423 0.1423 0.1423  6 Cl 2.66-2.80
Np 0.3577 0.3577 0.3577  6 Cl 2.66-2.80
Np 0.6423 0.6423 0.6423  6 Cl 2.66-2.80
Np 0.8577 0.8577 0.8577  6 Cl 2.66-2.80
Cl 0.0485 0.2811 0.9184  1 Np 2.66
Cl 0.0816 0.9515 0.7189  1 Np 2.66
Cl 0.0979 0.4021 0.2500  2 Np 2.80
Cl 0.2189 0.4515 0.5816  1 Np 2.66
Cl 0.2500 0.0979 0.4021  2 Np 2.80
Cl 0.2811 0.9184 0.0485  1 Np 2.66
Cl 0.4021 0.2500 0.0979  2 Np 2.80
Cl 0.4184 0.7811 0.5485  1 Np 2.66
Cl 0.4515 0.5816 0.2189  1 Np 2.66
Cl 0.5485 0.4184 0.7811  1 Np 2.66
Cl 0.5816 0.2189 0.4515  1 Np 2.66
Cl 0.5979 0.7500 0.9021  2 Np 2.80
Cl 0.7189 0.0816 0.9515  1 Np 2.66
Cl 0.7500 0.9021 0.5979  2 Np 2.80
Cl 0.7811 0.5485 0.4184  1 Np 2.66
Cl 0.9021 0.5979 0.7500  2 Np 2.80
Cl 0.9184 0.0485 0.2811  1 Np 2.66
Cl 0.9515 0.7189 0.0816  1 Np 2.66

---

Entry 5:
First-principles (GGA-PBE) data for a relaxed K5Np3Cl12 crystal, as listed in Alexandria.

Output
As for the symmetry: Ia-3d, No. 230. Its total energy is -391.19 eV for the cell shown. As for the energy relative to the elements, uncorrected: -1.566 eV/atom.

Unit cell a=15.0433 b=15.0433 c=15.0433 alpha=109.47 beta=109.47 gamma=109.47
With the nearest neighbours (Å) after each atom.
Element x y z (fractional)
K 0.0000 0.0000 0.0000  6 Cl 3.05
K 0.0000 0.0000 0.5000  6 Cl 3.05
K 0.0000 0.5000 0.0000  6 Cl 3.05
K 0.0000 0.5000 0.5000  6 Cl 3.05
K 0.1250 0.7500 0.8750  4 Cl 2.91
K 0.1250 0.8750 0.2500  4 Cl 2.91
K 0.2500 0.1250 0.8750  4 Cl 2.91
K 0.2500 0.6250 0.3750  4 Cl 2.91
K 0.3750 0.2500 0.6250  4 Cl 2.91
K 0.3750 0.6250 0.7500  4 Cl 2.91
K 0.5000 0.0000 0.0000  6 Cl 3.05
K 0.5000 0.0000 0.5000  6 Cl 3.05
K 0.5000 0.5000 0.0000  6 Cl 3.05
K 0.5000 0.5000 0.5000  6 Cl 3.05
K 0.6250 0.3750 0.2500  4 Cl 2.91
K 0.6250 0.7500 0.3750  4 Cl 2.91
K 0.7500 0.3750 0.6250  4 Cl 2.91
K 0.7500 0.8750 0.1250  4 Cl 2.91
K 0.8750 0.1250 0.7500  4 Cl 2.91
K 0.8750 0.2500 0.1250  4 Cl 2.91
Np 0.1250 0.2500 0.3750  4 Cl 2.92
Np 0.1250 0.3750 0.7500  4 Cl 2.92
Np 0.2500 0.3750 0.1250  4 Cl 2.92
Np 0.2500 0.8750 0.6250  4 Cl 2.92
Np 0.3750 0.1250 0.2500  4 Cl 2.92
Np 0.3750 0.7500 0.1250  4 Cl 2.92
Np 0.6250 0.2500 0.8750  4 Cl 2.92
Np 0.6250 0.8750 0.7500  4 Cl 2.92
Np 0.7500 0.1250 0.3750  4 Cl 2.92
Np 0.7500 0.6250 0.8750  4 Cl 2.92
Np 0.8750 0.6250 0.2500  4 Cl 2.92
Np 0.8750 0.7500 0.6250  4 Cl 2.92
Cl 0.0660 0.2371 0.1333  2 K 2.91-3.05, 1 Np 2.92, 1 Cl 3.19
Cl 0.0660 0.3289 0.9327  2 K 2.91-3.05, 1 Np 2.92, 1 Cl 3.19
Cl 0.0673 0.6333 0.3962  2 K 2.91-3.05, 1 Np 2.92, 1 Cl 3.19
Cl 0.0673 0.9340 0.6711  2 K 2.91-3.05, 1 Np 2.92, 1 Cl 3.19
Cl 0.1038 0.7371 0.6711  2 K 2.91-3.05, 1 Np 2.92, 1 Cl 3.19
Cl 0.1038 0.8667 0.4327  2 K 2.91-3.05, 1 Np 2.92, 1 Cl 3.19
Cl 0.1333 0.0660 0.2371  2 K 2.91-3.05, 1 Np 2.92, 1 Cl 3.19
Cl 0.1333 0.5673 0.8962  2 K 2.91-3.05, 1 Np 2.92, 1 Cl 3.19
Cl 0.1711 0.2371 0.6038  2 K 2.91-3.05, 1 Np 2.92, 1 Cl 3.19
Cl 0.1711 0.4340 0.5673  2 K 2.91-3.05, 1 Np 2.92, 1 Cl 3.19
Cl 0.2371 0.1333 0.0660  2 K 2.91-3.05, 1 Np 2.92, 1 Cl 3.19
Cl 0.2371 0.6038 0.1711  2 K 2.91-3.05, 1 Np 2.92, 1 Cl 3.19
Cl 0.2629 0.3289 0.8962  2 K 2.91-3.05, 1 Np 2.92, 1 Cl 3.19
Cl 0.2629 0.4340 0.3667  2 K 2.91-3.05, 1 Np 2.92, 1 Cl 3.19
Cl 0.3289 0.8962 0.2629  2 K 2.91-3.05, 1 Np 2.92, 1 Cl 3.19
Cl 0.3289 0.9327 0.0660  2 K 2.91-3.05, 1 Np 2.92, 1 Cl 3.19
Cl 0.3667 0.2629 0.4340  2 K 2.91-3.05, 1 Np 2.92, 1 Cl 3.19
Cl 0.3667 0.6038 0.9327  2 K 2.91-3.05, 1 Np 2.92, 1 Cl 3.19
Cl 0.3962 0.0673 0.6333  2 K 2.91-3.05, 1 Np 2.92, 1 Cl 3.19
Cl 0.3962 0.8289 0.7629  2 K 2.91-3.05, 1 Np 2.92, 1 Cl 3.19
Cl 0.4327 0.1038 0.8667  2 K 2.91-3.05, 1 Np 2.92, 1 Cl 3.19
Cl 0.4327 0.8289 0.5660  2 K 2.91-3.05, 1 Np 2.92, 1 Cl 3.19
Cl 0.4340 0.3667 0.2629  2 K 2.91-3.05, 1 Np 2.92, 1 Cl 3.19
Cl 0.4340 0.5673 0.1711  2 K 2.91-3.05, 1 Np 2.92, 1 Cl 3.19
Cl 0.5660 0.4327 0.8289  2 K 2.91-3.05, 1 Np 2.92, 1 Cl 3.19
Cl 0.5660 0.6333 0.7371  2 K 2.91-3.05, 1 Np 2.92, 1 Cl 3.19
Cl 0.5673 0.1711 0.4340  2 K 2.91-3.05, 1 Np 2.92, 1 Cl 3.19
Cl 0.5673 0.8962 0.1333  2 K 2.91-3.05, 1 Np 2.92, 1 Cl 3.19
Cl 0.6038 0.1711 0.2371  2 K 2.91-3.05, 1 Np 2.92, 1 Cl 3.19
Cl 0.6038 0.9327 0.3667  2 K 2.91-3.05, 1 Np 2.92, 1 Cl 3.19
Cl 0.6333 0.3962 0.0673  2 K 2.91-3.05, 1 Np 2.92, 1 Cl 3.19
Cl 0.6333 0.7371 0.5660  2 K 2.91-3.05, 1 Np 2.92, 1 Cl 3.19
Cl 0.6711 0.0673 0.9340  2 K 2.91-3.05, 1 Np 2.92, 1 Cl 3.19
Cl 0.6711 0.1038 0.7371  2 K 2.91-3.05, 1 Np 2.92, 1 Cl 3.19
Cl 0.7371 0.5660 0.6333  2 K 2.91-3.05, 1 Np 2.92, 1 Cl 3.19
Cl 0.7371 0.6711 0.1038  2 K 2.91-3.05, 1 Np 2.92, 1 Cl 3.19
Cl 0.7629 0.3962 0.8289  2 K 2.91-3.05, 1 Np 2.92, 1 Cl 3.19
Cl 0.7629 0.8667 0.9340  2 K 2.91-3.05, 1 Np 2.92, 1 Cl 3.19
Cl 0.8289 0.5660 0.4327  2 K 2.91-3.05, 1 Np 2.92, 1 Cl 3.19
Cl 0.8289 0.7629 0.3962  2 K 2.91-3.05, 1 Np 2.92, 1 Cl 3.19
Cl 0.8667 0.4327 0.1038  2 K 2.91-3.05, 1 Np 2.92, 1 Cl 3.19
Cl 0.8667 0.9340 0.7629  2 K 2.91-3.05, 1 Np 2.92, 1 Cl 3.19
Cl 0.8962 0.1333 0.5673  2 K 2.91-3.05, 1 Np 2.92, 1 Cl 3.19
Cl 0.8962 0.2629 0.3289  2 K 2.91-3.05, 1 Np 2.92, 1 Cl 3.19
Cl 0.9327 0.0660 0.3289  2 K 2.91-3.05, 1 Np 2.92, 1 Cl 3.19
Cl 0.9327 0.3667 0.6038  2 K 2.91-3.05, 1 Np 2.92, 1 Cl 3.19
Cl 0.9340 0.6711 0.0673  2 K 2.91-3.05, 1 Np 2.92, 1 Cl 3.19
Cl 0.9340 0.7629 0.8667  2 K 2.91-3.05, 1 Np 2.92, 1 Cl 3.19

---

Entry 6:
First-principles (GGA-PBE) data for a relaxed K2NpCl2O4 crystal, as listed in Alexandria.

Output
As for the symmetry: I4/mmm, No. 139. Its total energy is -56.21 eV for the cell shown. As for the energy relative to the elements, uncorrected: -1.950 eV/atom.

Unit cell a=6.7741 b=6.7741 c=6.7741 alpha=122.34 beta=122.34 gamma=85.99
With the nearest neighbours (Å) after each atom.
Element x y z (fractional)
K 0.2500 0.7500 0.5000  4 Cl 3.28, 8 O 3.42
K 0.7500 0.2500 0.5000  4 Cl 3.28, 8 O 3.42
Np 0.0000 0.0000 0.0000  4 O 1.86
Cl 0.2742 0.2742 0.0000  1 Np 2.72
Cl 0.7258 0.7258 0.0000  1 Np 2.72
O 0.2011 0.2011 0.4021  1 Np 1.86
O 0.2011 0.7989 0.0000  1 Np 1.86
O 0.7989 0.2011 0.0000  1 Np 1.86
O 0.7989 0.7989 0.5979  1 Np 1.86

---

Entry 7:
First-principles (GGA-PBE) data for a relaxed K2NpPbCl8 crystal, as listed in Alexandria.

Output
As for the symmetry: P2/m, No. 10. Its total energy is -53.15 eV for the cell shown. As for the energy relative to the elements, uncorrected: -1.628 eV/atom.

Unit cell a=6.8429 b=8.8638 c=7.1317 alpha=90.00 beta=92.53 gamma=90.00
With the nearest neighbours (Å) after each atom.
Element x y z (fractional)
K 0.0000 0.2470 0.0000  6 Cl 3.02-3.32
K 0.0000 0.7530 0.0000  6 Cl 3.02-3.32
Np 0.5000 0.5000 0.5000  6 Cl 2.60-2.64
Pb 0.5000 0.0000 0.5000  6 Cl 2.78-3.06
Cl 0.2403 0.0000 0.1893  1 Pb 2.78, 2 K 3.02
Cl 0.2667 0.5000 0.2026  1 Np 2.60
Cl 0.2944 0.2802 0.6450  1 Np 2.64
Cl 0.2944 0.7198 0.6450  1 Np 2.64
Cl 0.7056 0.2802 0.3550  1 Np 2.64
Cl 0.7056 0.7198 0.3550  1 Np 2.64
Cl 0.7333 0.5000 0.7974  1 Np 2.60
Cl 0.7597 0.0000 0.8107  1 Pb 2.78, 2 K 3.02

---

Entry 8:
First-principles (GGA-PBE) data for a relaxed KNpPdCl6 crystal, as listed in Alexandria.

Output
As for the symmetry: P1, No. 1. Its total energy is -42.69 eV for the cell shown. As for the energy relative to the elements, uncorrected: -1.376 eV/atom.

Unit cell a=6.6013 b=6.6036 c=7.2872 alpha=91.55 beta=91.61 gamma=116.73
With the nearest neighbours (Å) after each atom.
Element x y z (fractional)
K 0.0000 0.0000 0.0000  6 Cl 3.17-3.20
Np 0.6516 0.3480 0.4998  6 Cl 2.60-2.67
Pd 0.3173 0.6824 0.5001  4 Cl 2.53-2.54
Cl 0.3378 0.0209 0.6875  1 Pd 2.54, 1 Np 2.67
Cl 0.3424 0.3895 0.2833  1 Pd 2.53, 1 Np 2.66
Cl 0.6108 0.6570 0.7166  1 Pd 2.53, 1 Np 2.66
Cl 0.6442 0.0433 0.2625  1 Np 2.60
Cl 0.9572 0.3547 0.7362  1 Np 2.60
Cl 0.9787 0.6627 0.3127  1 Pd 2.54, 1 Np 2.67

---

Please write out number 6 again, unchanged.
First-principles (GGA-PBE) data for a relaxed K2NpCl2O4 crystal, as listed in Alexandria.

Output
As for the symmetry: I4/mmm, No. 139. Its total energy is -56.21 eV for the cell shown. As for the energy relative to the elements, uncorrected: -1.950 eV/atom.

Unit cell a=6.7741 b=6.7741 c=6.7741 alpha=122.34 beta=122.34 gamma=85.99
With the nearest neighbours (Å) after each atom.
Element x y z (fractional)
K 0.2500 0.7500 0.5000  4 Cl 3.28, 8 O 3.42
K 0.7500 0.2500 0.5000  4 Cl 3.28, 8 O 3.42
Np 0.0000 0.0000 0.0000  4 O 1.86
Cl 0.2742 0.2742 0.0000  1 Np 2.72
Cl 0.7258 0.7258 0.0000  1 Np 2.72
O 0.2011 0.2011 0.4021  1 Np 1.86
O 0.2011 0.7989 0.0000  1 Np 1.86
O 0.7989 0.2011 0.0000  1 Np 1.86
O 0.7989 0.7989 0.5979  1 Np 1.86

---

> energy relative to the elements, uncorrected of number 6 (K2NpCl2O4)?

-1.950 eV/atom